(1)
A plane-wave DFT calculation with PBE-GGA was carried out for PaTcSbPd after structural relaxation.

For the energy relative to the elements, uncorrected, the calculation gives -0.21 eV per atom. The calculation puts the density of states at the Fermi level at 28.71 states/eV per cell. The calculation puts the size of the total moment at 0.001 μB per formula unit.

Cell: 6.8188 6.8188 6.8188 Å, 90.00 90.00 90.00°
Last column: nearest neighbours and their distance in Å.
Space group F-43m (No. 216)
One atom of each set of equivalent atoms:
Pa 0.0000 0.0000 0.0000 x4  4 Tc 2.95, 4 Pd 2.95
Tc 0.2500 0.2500 0.7500 x4  4 Pa 2.95, 4 Sb 2.95
Sb 0.0000 0.0000 0.5000 x4  4 Tc 2.95, 4 Pd 2.95
Pd 0.2500 0.2500 0.2500 x4  4 Sb 2.95, 4 Pa 2.95

=====

(2)
A plane-wave DFT calculation with PBE-GGA was carried out for PaSbTePd after structural relaxation.

For the energy relative to the elements, uncorrected, the calculation gives -0.67 eV per atom. The calculation puts the density of states at the Fermi level at 4.55 states/eV per cell. The calculation puts the size of the total moment at 0.000 μB per formula unit.

Cell: 4.5460 4.5460 9.0974 Å, 90.00 90.00 90.00°
Last column: nearest neighbours and their distance in Å.
Space group P4/nmm (No. 129, origin choice 2)
One atom of each set of equivalent atoms:
Pa 0.2500 0.2500 0.2496 x2  4 Te 3.21, 4 Pd 3.22, 4 Sb 3.29
Sb 0.2500 0.2500 0.6743 x2  4 Pd 2.77
Te 0.2500 0.7500 0.0000 x2  4 Pa 3.21, 4 Te 3.21
Pd 0.2500 0.7500 0.5000 x2  4 Sb 2.77

=====

(3)
A plane-wave DFT calculation with PBE-GGA was carried out for ThPaSbPd after structural relaxation.

For the energy relative to the elements, uncorrected, the calculation gives -0.34 eV per atom. The calculation puts the density of states at the Fermi level at 36.38 states/eV per cell. The calculation puts the size of the total moment at 2.192 μB per formula unit.

Cell: 7.4219 7.4219 7.4219 Å, 90.00 90.00 90.00°
Last column: nearest neighbours and their distance in Å.
Space group F-43m (No. 216)
One atom of each set of equivalent atoms:
Th 0.0000 0.0000 0.0000 x4  4 Sb 3.21, 4 Pd 3.21
Pa 0.0000 0.0000 0.5000 x4  4 Sb 3.21, 4 Pd 3.21
Sb 0.2500 0.2500 0.7500 x4  4 Th 3.21, 4 Pa 3.21
Pd 0.2500 0.2500 0.2500 x4  4 Th 3.21, 4 Pa 3.21

=====

(4)
A plane-wave DFT calculation with PBE-GGA was carried out for UPaSbPd after structural relaxation.

For the energy relative to the elements, uncorrected, the calculation gives 0.05 eV per atom. The calculation puts the density of states at the Fermi level at 36.51 states/eV per cell. The calculation puts the size of the total moment at 5.423 μB per formula unit.

Cell: 7.1179 7.1179 7.1179 Å, 90.00 90.00 90.00°
Last column: nearest neighbours and their distance in Å.
Space group F-43m (No. 216)
One atom of each set of equivalent atoms:
U 0.0000 0.0000 0.0000 x4  4 Sb 3.08, 4 Pa 3.08
Pa 0.2500 0.2500 0.7500 x4  4 U 3.08, 4 Pd 3.08
Sb 0.2500 0.2500 0.2500 x4  4 U 3.08, 4 Pd 3.08
Pd 0.0000 0.0000 0.5000 x4  4 Pa 3.08, 4 Sb 3.08

=====

(5)
A plane-wave DFT calculation with PBE-GGA was carried out for Sc4PaPd5 after structural relaxation.

The calculated formation energy comes out at -0.79 eV per atom. The calculation puts the density of states at the Fermi level at 9.26 states/eV per cell. The calculation puts the size of the total moment at 0.805 μB per formula unit.

Cell: 3.2582 3.2582 17.6121 Å, 90.00 90.00 90.00°
Last column: nearest neighbours and their distance in Å.
Space group P4/mmm (No. 123)
One atom of each set of equivalent atoms:
Sc 0.0000 0.0000 0.0971 x2  8 Pd 2.87
Sc 0.0000 0.0000 0.2905 x2  8 Pd 2.83-2.86
Pa 0.0000 0.0000 0.5000 x1  8 Pd 3.09, 4 Pa 3.26
Pd 0.5000 0.5000 0.0000 x1  8 Sc 2.87
Pd 0.5000 0.5000 0.1945 x2  8 Sc 2.86-2.87
Pd 0.5000 0.5000 0.3834 x2  4 Sc 2.83, 4 Pa 3.09

=====

(6)
A plane-wave DFT calculation with PBE-GGA was carried out for ScPaPd6 after structural relaxation.

The calculated formation energy comes out at -0.85 eV per atom. The calculation puts the density of states at the Fermi level at 2.34 states/eV per cell. The calculation puts the size of the total moment at 0.172 μB per formula unit.

Cell: 4.0881 4.0881 8.1112 Å, 90.00 90.00 90.00°
Last column: nearest neighbours and their distance in Å.
Space group P4/mmm (No. 123)
One atom of each set of equivalent atoms:
Sc 0.0000 0.0000 0.0000 x1  12 Pd 2.87-2.89
Pa 0.0000 0.0000 0.5000 x1  12 Pd 2.89
Pd 0.0000 0.5000 0.2478 x4  2 Sc 2.87, 8 Pd 2.87-2.89, 2 Pa 2.89
Pd 0.5000 0.5000 0.0000 x1  8 Pd 2.87, 4 Sc 2.89
Pd 0.5000 0.5000 0.5000 x1  4 Pa 2.89, 8 Pd 2.89

=====

(7)
A plane-wave DFT calculation with PBE-GGA was carried out for ScPa2Pd after structural relaxation.

The calculated formation energy comes out at 0.12 eV per atom. The calculation puts the density of states at the Fermi level at 25.11 states/eV per cell. The calculation puts the size of the total moment at 0.000 μB per formula unit.

Cell: 3.1102 3.1102 33.0771 Å, 90.00 90.00 120.00°
Last column: nearest neighbours and their distance in Å.
Space group R-3m (No. 166, hexagonal axes)
One atom of each set of equivalent atoms:
Sc 0.0000 0.0000 0.0000 x3  6 Sc 3.11, 6 Pa 3.34
Pa 0.0000 0.0000 0.4185 x6  1 Pd 2.69
Pd 0.0000 0.0000 0.5000 x3  2 Pa 2.69

=====

(8)
A plane-wave DFT calculation with PBE-GGA was carried out for ScPaPd after structural relaxation.

The calculated formation energy comes out at -0.28 eV per atom. For the relative energy among the computed polymorphs, the calculation gives 49 meV per atom. The calculation puts the density of states at the Fermi level at 6.97 states/eV per cell. The calculation puts the size of the total moment at 0.000 μB per formula unit.

Cell: 3.1981 3.1981 14.4219 Å, 90.00 90.00 120.00°
Last column: nearest neighbours and their distance in Å.
Space group P-6m2 (No. 187)
One atom of each set of equivalent atoms:
Sc 0.0000 0.0000 0.1887 x2  3 Pd 2.78
Pa 0.0000 0.0000 0.5000 x1  6 Pd 3.03, 6 Pa 3.20
Pa 0.6667 0.3333 0.0000 x1  6 Pa 3.20, 6 Sc 3.29
Pd 0.6667 0.3333 0.3330 x2  3 Sc 2.78, 3 Pa 3.03

=====

(9)
A plane-wave DFT calculation with PBE-GGA was carried out for Sc2PaPd3 after structural relaxation.

The calculated formation energy comes out at -0.69 eV per atom. The calculation puts the density of states at the Fermi level at 14.28 states/eV per cell. The calculation puts the size of the total moment at 0.334 μB per formula unit.

Cell: 4.8297 14.8298 3.2577 Å, 90.00 90.00 90.00°
Last column: nearest neighbours and their distance in Å.
Space group Cmmm (No. 65)
One atom of each set of equivalent atoms:
Sc 0.0000 0.1695 0.0000 x4  8 Pd 2.82-2.99
Pa 0.0000 0.5000 0.0000 x2  8 Pd 2.91-3.07, 2 Pa 3.26
Pd 0.0000 0.0000 0.5000 x2  4 Pa 2.91, 4 Sc 2.99, 2 Pd 3.26
Pd 0.0000 0.3248 0.5000 x4  6 Sc 2.82-2.91, 2 Pa 3.07

=====

(10)
A plane-wave DFT calculation with PBE-GGA was carried out for ScPaPd14 after structural relaxation.

The calculated formation energy comes out at -0.47 eV per atom. The calculation puts the density of states at the Fermi level at 17.63 states/eV per cell. The calculation puts the size of the total moment at 0.000 μB per formula unit.

Cell: 5.7497 5.7497 7.8451 Å, 90.00 90.00 90.00°
Last column: nearest neighbours and their distance in Å.
Space group P4/mmm (No. 123)
One atom of each set of equivalent atoms:
Sc 0.0000 0.0000 0.0000 x1  12 Pd 2.83-2.87
Pa 0.5000 0.5000 0.0000 x1  12 Pd 2.83-2.87
Pd 0.0000 0.0000 0.5000 x1  12 Pd 2.82-2.87
Pd 0.0000 0.5000 0.0000 x2  8 Pd 2.83, 2 Pa 2.87, 2 Sc 2.87
Pd 0.0000 0.5000 0.5000 x2  12 Pd 2.82-2.87
Pd 0.2498 0.2498 0.2507 x8  10 Pd 2.82-2.88, 1 Sc 2.83, 1 Pa 2.83
Pd 0.5000 0.5000 0.5000 x1  12 Pd 2.82-2.87

=====

(11)
A plane-wave DFT calculation with PBE-GGA was carried out for Sc2PaPd8 after structural relaxation.

The calculated formation energy comes out at -0.78 eV per atom. The calculation puts the density of states at the Fermi level at 9.41 states/eV per cell. The calculation puts the size of the total moment at 0.000 μB per formula unit.

Cell: 14.5850 4.1403 6.5549 Å, 90.00 107.79 90.00°
Last column: nearest neighbours and their distance in Å.
Space group C2/m (No. 12)
One atom of each set of equivalent atoms:
Sc 0.2203 0.0000 0.1630 x4  10 Pd 2.72-2.97
Pa 0.0000 0.5000 0.5000 x2  12 Pd 2.83-2.94
Pd 0.0401 0.0000 0.2278 x4  1 Sc 2.79, 9 Pd 2.85-3.04, 2 Pa 2.91
Pd 0.0971 0.5000 0.9489 x4  3 Sc 2.82-2.97, 1 Pa 2.85, 8 Pd 2.87-3.10
Pd 0.1438 0.0000 0.6908 x4  3 Sc 2.82-2.95, 7 Pd 2.87-2.95, 2 Pa 2.94
Pd 0.1787 0.5000 0.4122 x4  3 Sc 2.72-2.82, 1 Pa 2.83, 8 Pd 2.87-2.91

=====

(12)
A plane-wave DFT calculation with PBE-GGA was carried out for Sc3PaPd12 after structural relaxation.

The calculated formation energy comes out at -0.86 eV per atom. The calculation puts the density of states at the Fermi level at 6.00 states/eV per cell. The calculation puts the size of the total moment at 0.000 μB per formula unit.

Cell: 4.0618 4.0618 16.0428 Å, 90.00 90.00 90.00°
Last column: nearest neighbours and their distance in Å.
Space group P4/mmm (No. 123)
One atom of each set of equivalent atoms:
Sc 0.0000 0.0000 0.0000 x1  12 Pd 2.84-2.87
Sc 0.0000 0.0000 0.2402 x2  12 Pd 2.76-2.95
Pa 0.0000 0.0000 0.5000 x1  12 Pd 2.87
Pd 0.0000 0.5000 0.1238 x4  4 Sc 2.76-2.84, 8 Pd 2.84-2.87
Pd 0.0000 0.5000 0.3733 x4  8 Pd 2.86-2.87, 2 Pa 2.87, 2 Sc 2.95
Pd 0.5000 0.5000 0.0000 x1  8 Pd 2.84, 4 Sc 2.87
Pd 0.5000 0.5000 0.2479 x2  8 Pd 2.84-2.86, 4 Sc 2.87
Pd 0.5000 0.5000 0.5000 x1  4 Pa 2.87, 8 Pd 2.87